# 1
The following is a PBE-GGA calculation of crystalline FeRuRh2 at its relaxed geometry, from Alexandria via LeMat-Bulk.

Summary:
Total DFT energy (no corrections), Ha/atom: -0.25724
V, Å³/atom: 19.063
Space group: I-42d (122)
Spin magnetization, μB/f.u.: 0.00

a b c (Å): 6.582 6.582 6.582
angles (deg): 132.41 132.41 69.58
Atoms (fractional coordinates):
Fe (0.000, 0.000, 0.000)
Fe (0.750, 0.250, 0.500)
Ru (0.250, 0.750, 0.500)
Ru (0.500, 0.500, 0.000)
Rh (0.103, 0.625, 0.978)
Rh (0.375, 0.353, 0.478)
Rh (0.647, 0.125, 0.022)
Rh (0.875, 0.897, 0.522)

# 2
The following is a PBE-GGA calculation of crystalline PrHoBiSb at its relaxed geometry, from Alexandria via LeMat-Bulk.

Summary:
Total DFT energy (no corrections), Ha/atom: -0.19699
V, Å³/atom: 32.374
Space group: R3m (160)
Spin magnetization, μB/f.u.: 0.00
Raw formation energy, eV/atom: -1.0201

a b c (Å): 7.800 7.800 7.800
angles (deg): 33.61 33.61 33.61
Atoms (fractional coordinates):
Pr (0.000, 0.000, 0.000)
Ho (0.496, 0.496, 0.496)
Bi (0.244, 0.244, 0.244)
Sb (0.752, 0.752, 0.752)

# 3
The following is a PBE-GGA calculation of crystalline SiSbTe2Mo at its relaxed geometry, from Alexandria via LeMat-Bulk.

Summary:
Energy above the lowest structure with this stoichiometry, eV/atom: 0.0000
Total DFT energy (no corrections), Ha/atom: -0.16473
V, Å³/atom: 29.200
Space group: P4/mmm (123)
Spin magnetization, μB/f.u.: 1.14
Raw formation energy, eV/atom: 0.8495

a b c (Å): 5.263 5.263 5.272
angles (deg): 90.00 90.00 90.00
Atoms (fractional coordinates):
Si (0.000, 0.000, 0.000)
Sb (0.500, 0.500, 0.000)
Te (0.000, 0.500, 0.500)
Te (0.500, 0.000, 0.500)
Mo (0.500, 0.500, 0.500)

# 4
The following is a PBE-GGA calculation of crystalline Ho3MgGa3 at its relaxed geometry, from Alexandria via LeMat-Bulk.

Summary:
Total DFT energy (no corrections), Ha/atom: -0.13320
V, Å³/atom: 27.809
Space group: P6_3/m (176)
Spin magnetization, μB/f.u.: 0.00

a b c (Å): 8.827 8.827 5.770
angles (deg): 90.00 90.00 120.00
Atoms (fractional coordinates):
Ho (0.053, 0.365, 0.250)
Ho (0.312, 0.947, 0.250)
Ho (0.365, 0.312, 0.750)
Ho (0.635, 0.688, 0.250)
Ho (0.688, 0.053, 0.750)
Ho (0.947, 0.635, 0.750)
Mg (0.333, 0.667, 0.750)
Mg (0.667, 0.333, 0.250)
Ga (0.036, 0.348, 0.750)
Ga (0.312, 0.964, 0.750)
Ga (0.348, 0.312, 0.250)
Ga (0.652, 0.688, 0.750)
Ga (0.688, 0.036, 0.250)
Ga (0.964, 0.652, 0.250)

# 5
The following is a PBE-GGA calculation of crystalline BaSrSb2 at its relaxed geometry, from Alexandria via LeMat-Bulk.

Summary:
Energy above the lowest structure with this stoichiometry, eV/atom: 0.5072
Total DFT energy (no corrections), Ha/atom: -0.12322
V, Å³/atom: 34.393
Space group: F-43m (216)
Spin magnetization, μB/f.u.: 0.00
Raw formation energy, eV/atom: -0.3905

a b c (Å): 5.794 5.794 5.794
angles (deg): 60.00 60.00 60.00
Atoms (fractional coordinates):
Ba (0.000, 0.000, 0.000)
Sr (0.250, 0.250, 0.250)
Sb (0.500, 0.500, 0.500)
Sb (0.750, 0.750, 0.750)

# 6
The following is a PBE-GGA calculation of crystalline PrGa4Ag4 at its relaxed geometry, from Alexandria via LeMat-Bulk.

Summary:
Total DFT energy (no corrections), Ha/atom: -0.12179
V, Å³/atom: 19.999
Space group: P4_2/nmc (137)
Spin magnetization, μB/f.u.: 0.00

a b c (Å): 6.273 6.273 9.147
angles (deg): 90.00 90.00 90.00
Atoms (fractional coordinates):
Pr (0.250, 0.750, 0.250)
Pr (0.750, 0.250, 0.750)
Ga (0.034, 0.250, 0.047)
Ga (0.250, 0.034, 0.547)
Ga (0.250, 0.466, 0.547)
Ga (0.466, 0.250, 0.047)
Ga (0.534, 0.750, 0.953)
Ga (0.750, 0.534, 0.453)
Ga (0.750, 0.966, 0.453)
Ga (0.966, 0.750, 0.953)
Ag (0.026, 0.250, 0.337)
Ag (0.250, 0.026, 0.837)
Ag (0.250, 0.474, 0.837)
Ag (0.474, 0.250, 0.337)
Ag (0.526, 0.750, 0.663)
Ag (0.750, 0.526, 0.163)
Ag (0.750, 0.974, 0.163)
Ag (0.974, 0.750, 0.663)

# 7
The following is a PBE-GGA calculation of crystalline BaNdNi2P2 at its relaxed geometry, from Alexandria via LeMat-Bulk.

Summary:
Total DFT energy (no corrections), Ha/atom: -0.21348
V, Å³/atom: 20.345
Space group: P-3m1 (164)
Spin magnetization, μB/f.u.: 0.00

a b c (Å): 3.994 3.994 8.837
angles (deg): 90.00 90.00 120.00
Atoms (fractional coordinates):
Ba (0.000, 0.000, 0.000)
Nd (0.000, 0.000, 0.500)
Ni (0.333, 0.667, 0.727)
Ni (0.667, 0.333, 0.273)
P (0.333, 0.667, 0.275)
P (0.667, 0.333, 0.725)

# 8
The following is a PBE-GGA calculation of crystalline Li5TlSb4 at its relaxed geometry, from Alexandria via LeMat-Bulk.

Summary:
Total DFT energy (no corrections), Ha/atom: -0.11804
V, Å³/atom: 21.783
Space group: P4/mmm (123)
Spin magnetization, μB/f.u.: 0.00
Raw formation energy, eV/atom: -0.3697

a b c (Å): 3.209 3.209 21.156
angles (deg): 90.00 90.00 90.00
Atoms (fractional coordinates):
Li (0.000, 0.000, 0.000)
Li (0.000, 0.000, 0.200)
Li (0.000, 0.000, 0.395)
Li (0.000, 0.000, 0.605)
Li (0.000, 0.000, 0.800)
Tl (0.500, 0.500, 0.500)
Sb (0.500, 0.500, 0.102)
Sb (0.500, 0.500, 0.302)
Sb (0.500, 0.500, 0.698)
Sb (0.500, 0.500, 0.898)

# 9
The following is a PBE-GGA calculation of crystalline LaIrC2 at its relaxed geometry, from Alexandria via LeMat-Bulk.

Summary:
Energy above the lowest structure with this stoichiometry, eV/atom: 0.0000
Total DFT energy (no corrections), Ha/atom: -0.28507
V, Å³/atom: 16.882
Space group: I-42d (122)
Spin magnetization, μB/f.u.: 0.00

a b c (Å): 6.480 6.480 6.480
angles (deg): 134.77 134.77 65.89
Atoms (fractional coordinates):
La (0.000, 0.000, 0.000)
La (0.750, 0.250, 0.500)
Ir (0.250, 0.750, 0.500)
Ir (0.500, 0.500, 0.000)
C (0.239, 0.625, 0.114)
C (0.375, 0.489, 0.614)
C (0.511, 0.125, 0.886)
C (0.875, 0.761, 0.386)

# 10
The following is a PBE-GGA calculation of crystalline CaNd2Sm at its relaxed geometry, from Alexandria via LeMat-Bulk.

Summary:
Energy above the lowest structure with this stoichiometry, eV/atom: 0.0922
Total DFT energy (no corrections), Ha/atom: -0.14467
V, Å³/atom: 36.036
Space group: Fm-3m (225)
Spin magnetization, μB/f.u.: 0.00

a b c (Å): 5.885 5.885 5.885
angles (deg): 60.00 60.00 60.00
Atoms (fractional coordinates):
Ca (0.000, 0.000, 0.000)
Nd (0.250, 0.250, 0.250)
Nd (0.750, 0.750, 0.750)
Sm (0.500, 0.500, 0.500)

# 11
The following is a PBE-GGA calculation of crystalline VN at its relaxed geometry, from Alexandria via LeMat-Bulk.

Summary:
Total DFT energy (no corrections), Ha/atom: -0.33787
V, Å³/atom: 8.288
Space group: Pm-3m (221)
Spin magnetization, μB/f.u.: 0.00
Raw formation energy, eV/atom: -0.4720

a b c (Å): 2.550 2.550 2.550
angles (deg): 90.00 90.00 90.00
Atoms (fractional coordinates):
V (0.000, 0.000, 0.000)
N (0.500, 0.500, 0.500)

# 12
The following is a PBE-GGA calculation of crystalline BaIn4Ga at its relaxed geometry, from Alexandria via LeMat-Bulk.

Summary:
Energy above the lowest structure with this stoichiometry, eV/atom: 0.1021
Total DFT energy (no corrections), Ha/atom: -0.10290
V, Å³/atom: 30.408
Space group: Cmcm (63)
Spin magnetization, μB/f.u.: 0.00

a b c (Å): 8.956 8.956 7.671
angles (deg): 90.00 90.00 143.63
Atoms (fractional coordinates):
Ba (0.106, 0.894, 0.750)
Ba (0.894, 0.106, 0.250)
In (0.102, 0.898, 0.250)
In (0.275, 0.725, 0.058)
In (0.275, 0.725, 0.442)
In (0.500, 0.500, 0.000)
In (0.500, 0.500, 0.500)
In (0.725, 0.275, 0.558)
In (0.725, 0.275, 0.942)
In (0.898, 0.102, 0.750)
Ga (0.368, 0.632, 0.750)
Ga (0.632, 0.368, 0.250)